[1]
A crystal of TlN2OF relaxed with PBEsol, computed with meta-GGA SCAN.

```
TlN2OF
1.0
3.476 0.000 0.000
0.000 3.476 0.000
0.000 0.000 4.977
Tl N O F
1 2 1 1
Cartesian
0.000 0.000 0.000
0.000 1.738 2.488
1.738 0.000 2.488
1.738 1.738 2.488
1.738 1.738 0.000
```

Properties
Calculated total energy (eV per cell): -93.76
Energy relative to the elements, uncorrected (kJ/mol of formula units): 671

[2]
A crystal of Zr4N3OF5 relaxed with PBEsol, computed with meta-GGA SCAN.

```
Zr4N3OF5
1.0
5.120 0.000 0.000
0.000 5.342 0.000
-0.118 0.000 21.442
Zr N O F
16 12 4 20
Cartesian
0.939 1.118 2.740
0.880 1.553 13.461
0.885 3.918 16.082
0.944 4.095 5.361
0.957 3.916 10.739
1.016 4.097 0.018
0.975 1.153 7.970
0.916 1.517 18.691
4.087 3.824 2.751
4.028 4.188 13.472
3.987 1.245 21.424
4.046 1.426 10.703
4.058 1.247 16.081
4.117 1.424 5.360
4.122 3.789 7.981
4.063 4.224 18.702
0.047 0.192 20.111
0.106 2.479 9.390
0.132 0.030 14.703
0.191 2.641 3.982
0.131 0.034 17.417
0.190 2.637 6.696
4.812 2.705 14.746
4.871 5.308 4.025
4.812 2.701 17.460
4.871 5.312 6.739
4.897 2.863 12.052
4.956 5.150 1.331
0.017 0.191 12.011
0.076 2.480 1.290
4.927 2.862 20.152
4.986 5.151 9.431
2.136 0.653 5.393
2.077 2.018 16.114
2.125 3.359 13.969
2.184 4.654 3.248
2.124 3.419 18.237
2.183 4.594 7.516
2.302 0.624 1.021
2.243 2.047 11.742
2.376 0.644 9.624
2.317 2.027 20.346
2.685 3.315 1.097
2.626 4.698 11.818
2.760 3.295 9.700
2.701 4.718 20.421
2.819 0.748 13.926
2.878 1.923 3.205
2.818 0.688 18.194
2.877 1.983 7.473
2.925 3.324 5.328
2.866 4.689 16.049
```

Properties
Calculated total energy (eV per cell): -866.04
Energy relative to the elements, uncorrected (kJ/mol of formula units): -4044

[3]
A crystal of OsNF2 relaxed with PBEsol, computed with meta-GGA SCAN.

```
OsNF2
1.0
1.296 0.748 9.091
-1.296 0.748 9.091
0.000 -1.497 9.091
Os N F
1 1 2
Cartesian
0.000 0.000 0.000
0.000 0.000 13.637
0.000 0.000 1.875
0.000 0.000 25.398
```

Properties
Calculated total energy (eV per cell): -86.32
Energy relative to the elements, uncorrected (kJ/mol of formula units): 186